The following is a DFT calculation (PBE) of crystalline CsGePb at its relaxed geometry.

- E_tot: -0.1121 Ha/atom
- Formation energy from the elements: 1 kJ/mol of atoms
- Polymorph energy (0 for the lowest one): 66 meV/atom

Lattice parameters (Å, degrees): 6.3480 7.3668 5.2957 90.00 90.00 90.00
Closest atoms and distances in Å follow each position.
Space group Pmc2_1 (No. 26)
Symmetry-distinct sites (fractional):
Cs: 0.0000 0.2430 0.0000 [2 per cell]  2 Ge 3.71
Ge: 0.5000 0.0120 0.4189 [2 per cell]  2 Ge 2.65, 1 Pb 2.80
Pb: 0.5000 0.3880 0.4965 [2 per cell]  1 Ge 2.80, 2 Pb 3.12